RbSrCl3 | GGA-PBEsol | optimized geometry

Calculated values
Uncorrected formation energy ... -2.25 eV per atom

abc: 7.6035 7.6035 8.2839
angles: 62.68 62.68 60.00
With the nearest neighbours (Å) after each atom.
Positions (direct):
Sr (0.6560, 0.6560, 0.0321)  6 Cl 2.86-2.89
Rb (0.8602, 0.8602, 0.4195)  6 Cl 3.21-3.32
Cl (0.0546, 0.7034, 0.7697)  2 Sr 2.86-2.89
Cl (0.4723, 0.0546, 0.7697)  2 Sr 2.86-2.89
Cl (0.2966, 0.5277, 0.2303)  2 Sr 2.86-2.89
Sr (0.3440, 0.3440, 0.9679)  6 Cl 2.86-2.89
Cl (0.9454, 0.2966, 0.2303)  2 Sr 2.86-2.89
Rb (0.1398, 0.1398, 0.5805)  6 Cl 3.21-3.32
Cl (0.5277, 0.9454, 0.2303)  2 Sr 2.86-2.89
Cl (0.7034, 0.4723, 0.7697)  2 Sr 2.86-2.89


RbSrCl3 | GGA-PBEsol | optimized geometry

Calculated values
Uncorrected formation energy ... -2.21 eV per atom

abc: 5.5994 5.5994 5.5994
angles: 90.00 90.00 90.00
With the nearest neighbours (Å) after each atom.
Positions (direct):
Cl (0.5000, 0.0000, 0.0000)  2 Sr 2.80
Rb (0.5000, 0.5000, 0.5000)  12 Cl 3.96
Cl (0.0000, 0.5000, 0.0000)  2 Sr 2.80
Cl (0.0000, 0.0000, 0.5000)  2 Sr 2.80
Sr (0.0000, 0.0000, 0.0000)  6 Cl 2.80


Rb3TbCl6 | GGA-PBEsol | optimized geometry

Calculated values
Uncorrected formation energy ... -2.06 eV per atom

abc: 7.9914 7.9914 7.9914
angles: 60.00 60.00 60.00
With the nearest neighbours (Å) after each atom.
Positions (direct):
Cl (0.7310, 0.2690, 0.2690)  1 Tb 2.61
Cl (0.2690, 0.7310, 0.7310)  1 Tb 2.61
Rb (0.0000, 0.0000, 0.0000)  6 Cl 3.04
Rb (0.2500, 0.2500, 0.2500)  12 Cl 4.00
Tb (0.5000, 0.5000, 0.5000)  6 Cl 2.61
Cl (0.7310, 0.7310, 0.2690)  1 Tb 2.61
Rb (0.7500, 0.7500, 0.7500)  12 Cl 4.00
Cl (0.2690, 0.7310, 0.2690)  1 Tb 2.61
Cl (0.2690, 0.2690, 0.7310)  1 Tb 2.61
Cl (0.7310, 0.2690, 0.7310)  1 Tb 2.61


Rb2TeCl | GGA-PBEsol | optimized geometry

Calculated values
Uncorrected formation energy ... -1.02 eV per atom

abc: 5.9117 5.9117 5.9117
angles: 60.00 60.00 60.00
With the nearest neighbours (Å) after each atom.
Positions (direct):
Rb (0.2500, 0.2500, 0.2500)  4 Cl 3.62, 4 Te 3.62
Te (0.5000, 0.5000, 0.5000)  8 Rb 3.62
Rb (0.7500, 0.7500, 0.7500)  4 Cl 3.62, 4 Te 3.62
Cl (0.0000, 0.0000, 0.0000)  8 Rb 3.62


RbTeCl2 | GGA-PBEsol | optimized geometry

Calculated values
Uncorrected formation energy ... -0.27 eV per atom

abc: 3.5883 3.5883 10.6496
angles: 80.30 80.30 60.00
With the nearest neighbours (Å) after each atom.
Positions (direct):
Cl (0.9077, 0.9077, 0.2769)  1 Rb 2.89, 3 Te 3.12
Cl (0.0923, 0.0923, 0.7231)  1 Rb 2.89, 3 Te 3.12
Te (0.5000, 0.5000, 0.5000)  6 Cl 3.12
Rb (0.0000, 0.0000, 0.0000)  2 Cl 2.89


RbTe2Cl | GGA-PBEsol | optimized geometry

Calculated values
Uncorrected formation energy ... 0.08 eV per atom

abc: 5.5674 5.5674 5.5674
angles: 60.00 60.00 60.00
With the nearest neighbours (Å) after each atom.
Positions (direct):
Te (0.7500, 0.7500, 0.7500)  4 Rb 3.41, 4 Cl 3.41
Te (0.2500, 0.2500, 0.2500)  4 Cl 3.41, 4 Rb 3.41
Rb (0.5000, 0.5000, 0.5000)  8 Te 3.41
Cl (0.0000, 0.0000, 0.0000)  8 Te 3.41


RbTlTe2Cl | GGA-PBEsol | optimized geometry

Calculated values
Uncorrected formation energy ... -0.21 eV per atom

abc: 5.6435 5.6039 5.6039
angles: 90.00 90.00 90.00
With the nearest neighbours (Å) after each atom.
Positions (direct):
Te (0.0000, 0.0000, 0.5000)  2 Cl 2.80
Te (0.0000, 0.5000, 0.0000)  2 Cl 2.80
Cl (0.0000, 0.0000, 0.0000)  4 Te 2.80, 2 Rb 2.82
Rb (0.5000, 0.0000, 0.0000)  2 Cl 2.82
Tl (0.5000, 0.5000, 0.5000)  4 Rb 3.96, 8 Te 3.98


Rb2TiCl6 | GGA-PBEsol | optimized geometry

Calculated values
Uncorrected formation energy ... -1.81 eV per atom

abc: 6.9840 6.9840 6.9840
angles: 60.00 60.00 60.00
With the nearest neighbours (Å) after each atom.
Positions (direct):
Cl (0.2367, 0.2367, 0.7633)  1 Ti 2.34
Cl (0.7633, 0.7633, 0.2367)  1 Ti 2.34
Cl (0.7633, 0.2367, 0.2367)  1 Ti 2.34
Cl (0.2367, 0.7633, 0.2367)  1 Ti 2.34
Cl (0.2367, 0.7633, 0.7633)  1 Ti 2.34
Ti (0.0000, 0.0000, 0.0000)  6 Cl 2.34
Cl (0.7633, 0.2367, 0.7633)  1 Ti 2.34
Rb (0.2500, 0.2500, 0.2500)  12 Cl 3.49
Rb (0.7500, 0.7500, 0.7500)  12 Cl 3.49


RbTi2Cl | GGA-PBEsol | optimized geometry

Calculated values
Uncorrected formation energy ... 1.26 eV per atom

abc: 5.1423 5.1423 5.1423
angles: 60.00 60.00 60.00
With the nearest neighbours (Å) after each atom.
Positions (direct):
Cl (0.0000, 0.0000, 0.0000)  8 Ti 3.15
Rb (0.5000, 0.5000, 0.5000)  8 Ti 3.15
Ti (0.7500, 0.7500, 0.7500)  4 Rb 3.15, 4 Cl 3.15
Ti (0.2500, 0.2500, 0.2500)  4 Rb 3.15, 4 Cl 3.15


RbTiCl2 | GGA-PBEsol | optimized geometry

Calculated values
Uncorrected formation energy ... -0.86 eV per atom

abc: 3.7584 3.7584 9.3531
angles: 78.41 78.41 60.00
With the nearest neighbours (Å) after each atom.
Positions (direct):
Rb (0.5000, 0.5000, 0.5000)  6 Cl 3.09
Ti (0.0000, 0.0000, 0.0000)  2 Cl 2.35
Cl (0.9141, 0.9141, 0.2578)  1 Ti 2.35
Cl (0.0859, 0.0859, 0.7422)  1 Ti 2.35


Rb3TmCl6 | GGA-PBEsol | optimized geometry

Calculated values
Uncorrected formation energy ... -2.07 eV per atom

abc: 7.9177 7.9177 7.9177
angles: 60.00 60.00 60.00
With the nearest neighbours (Å) after each atom.
Positions (direct):
Cl (0.2289, 0.2289, 0.7711)  1 Tm 2.56
Rb (0.2500, 0.2500, 0.2500)  12 Cl 3.97
Rb (0.5000, 0.5000, 0.5000)  6 Cl 3.04
Cl (0.7711, 0.7711, 0.2289)  1 Tm 2.56
Rb (0.7500, 0.7500, 0.7500)  12 Cl 3.97
Cl (0.7711, 0.2289, 0.2289)  1 Tm 2.56
Cl (0.2289, 0.7711, 0.7711)  1 Tm 2.56
Tm (0.0000, 0.0000, 0.0000)  6 Cl 2.56
Cl (0.2289, 0.7711, 0.2289)  1 Tm 2.56
Cl (0.7711, 0.2289, 0.7711)  1 Tm 2.56


Rb2UCl5 | GGA-PBEsol | optimized geometry

Calculated values
Uncorrected formation energy ... -1.77 eV per atom

abc: 8.1700 8.6978 13.1306
angles: 90.00 90.00 90.00
With the nearest neighbours (Å) after each atom.
Positions (direct):
Cl (0.1590, 0.2500, 0.3013)  1 U 2.75
Rb (0.4475, 0.5052, 0.3284)  8 Cl 3.23-3.47
Cl (0.1597, 0.9579, 0.5770)  2 U 2.79-2.83
Cl (0.6590, 0.7500, 0.1987)  1 U 2.75
Cl (0.8410, 0.7500, 0.6987)  1 U 2.75
Cl (0.3410, 0.2500, 0.8013)  1 U 2.75
Rb (0.5525, 0.4948, 0.6716)  8 Cl 3.23-3.47
Cl (0.9065, 0.7500, 0.9906)  1 U 2.78
U (0.0667, 0.2500, 0.5026)  7 Cl 2.75-2.83
Cl (0.6597, 0.0421, 0.9230)  2 U 2.79-2.83
Cl (0.0935, 0.2500, 0.0094)  1 U 2.78
Cl (0.8403, 0.0421, 0.4230)  2 U 2.79-2.83
U (0.9333, 0.7500, 0.4974)  7 Cl 2.75-2.83
Cl (0.6597, 0.4579, 0.9230)  2 U 2.79-2.83
Cl (0.8774, 0.2500, 0.6758)  1 U 2.75
Cl (0.1597, 0.5421, 0.5770)  2 U 2.79-2.83
Cl (0.5935, 0.7500, 0.4906)  1 U 2.78
Cl (0.1226, 0.7500, 0.3242)  1 U 2.75
Cl (0.6226, 0.2500, 0.1758)  1 U 2.75
U (0.4333, 0.2500, 0.0026)  7 Cl 2.75-2.83
Cl (0.3403, 0.5421, 0.0770)  2 U 2.79-2.83
Rb (0.5525, 0.0052, 0.6716)  8 Cl 3.23-3.47
Rb (0.0525, 0.9948, 0.8284)  8 Cl 3.23-3.47
Rb (0.9475, 0.4948, 0.1716)  8 Cl 3.23-3.47
Cl (0.3403, 0.9579, 0.0770)  2 U 2.79-2.83
Rb (0.0525, 0.5052, 0.8284)  8 Cl 3.23-3.47
Cl (0.4065, 0.2500, 0.5094)  1 U 2.78
Cl (0.3774, 0.7500, 0.8242)  1 U 2.75
Cl (0.8403, 0.4579, 0.4230)  2 U 2.79-2.83
Rb (0.9475, 0.0052, 0.1716)  8 Cl 3.23-3.47
Rb (0.4475, 0.9948, 0.3284)  8 Cl 3.23-3.47
U (0.5667, 0.7500, 0.9974)  7 Cl 2.75-2.83


Rb2VCl6 | GGA-PBEsol | optimized geometry

Calculated values
Uncorrected formation energy ... -1.56 eV per atom

abc: 6.9334 6.9334 6.9334
angles: 60.00 60.00 60.00
With the nearest neighbours (Å) after each atom.
Positions (direct):
Cl (0.2345, 0.7655, 0.2345)  1 V 2.30
Cl (0.7655, 0.7655, 0.2345)  1 V 2.30
Cl (0.7655, 0.2345, 0.7655)  1 V 2.30
Rb (0.2500, 0.2500, 0.2500)  12 Cl 3.47
Cl (0.2345, 0.7655, 0.7655)  1 V 2.30
Cl (0.2345, 0.2345, 0.7655)  1 V 2.30
Rb (0.7500, 0.7500, 0.7500)  12 Cl 3.47
V (0.0000, 0.0000, 0.0000)  6 Cl 2.30
Cl (0.7655, 0.2345, 0.2345)  1 V 2.30


RbWCl2 | GGA-PBEsol | optimized geometry

Calculated values
Uncorrected formation energy ... 0.60 eV per atom

abc: 5.1741 5.1741 5.1741
angles: 60.00 60.00 60.00
With the nearest neighbours (Å) after each atom.
Positions (direct):
Cl (0.7500, 0.7500, 0.7500)  4 Rb 3.17, 4 W 3.17
Cl (0.2500, 0.2500, 0.2500)  4 W 3.17, 4 Rb 3.17
W (0.5000, 0.5000, 0.5000)  8 Cl 3.17
Rb (0.0000, 0.0000, 0.0000)  8 Cl 3.17


RbW3Cl9 | GGA-PBEsol | optimized geometry

Calculated values
Uncorrected formation energy ... -0.98 eV per atom

abc: 8.3559 9.4122 9.4122
angles: 120.00 90.00 90.00
With the nearest neighbours (Å) after each atom.
Positions (direct):
Cl (0.3026, 0.0037, 0.3930)  1 W 2.48
Cl (0.3175, 0.9980, 0.7989)  2 W 2.42
W (0.8754, 0.9982, 0.8181)  5 Cl 2.38-2.48
Cl (0.6825, 0.1991, 0.9980)  2 W 2.42
Cl (0.9997, 0.7930, 0.2143)  2 W 2.38
W (0.1246, 0.0018, 0.1819)  5 Cl 2.38-2.48
Cl (0.3026, 0.6070, 0.6107)  1 W 2.48
Cl (0.3175, 0.2011, 0.1991)  2 W 2.42
Cl (0.0003, 0.2070, 0.7857)  2 W 2.38
Cl (0.6974, 0.9963, 0.6070)  1 W 2.48
Cl (0.3175, 0.8009, 0.0020)  2 W 2.42
Rb (0.5053, 0.3333, 0.6667)  6 Cl 3.34
Cl (0.9997, 0.7857, 0.5787)  2 W 2.38
Cl (0.0003, 0.5787, 0.7930)  2 W 2.38
Cl (0.6974, 0.6107, 0.0037)  1 W 2.48
W (0.8754, 0.8200, 0.0018)  5 Cl 2.38-2.48
W (0.1246, 0.1800, 0.9982)  5 Cl 2.38-2.48
Cl (0.6825, 0.7989, 0.8009)  2 W 2.42
Cl (0.0003, 0.2143, 0.4213)  2 W 2.38
W (0.1246, 0.8181, 0.8200)  5 Cl 2.38-2.48
Rb (0.4947, 0.6667, 0.3333)  6 Cl 3.34
Cl (0.3026, 0.3893, 0.9963)  1 W 2.48
W (0.8754, 0.1819, 0.1800)  5 Cl 2.38-2.48
Cl (0.6974, 0.3930, 0.3893)  1 W 2.48
Cl (0.6825, 0.0020, 0.2011)  2 W 2.42
Cl (0.9997, 0.4213, 0.2070)  2 W 2.38


RbWCl6 | GGA-PBEsol | optimized geometry

Calculated values
Uncorrected formation energy ... -1.15 eV per atom

abc: 6.1854 6.6193 11.9164
angles: 100.49 90.00 117.85
With the nearest neighbours (Å) after each atom.
Positions (direct):
Cl (0.0916, 0.3002, 0.5357)  1 W 2.32
Cl (0.2086, 0.3002, 0.0357)  1 W 2.32
Cl (0.3167, 0.8459, 0.1041)  1 W 2.32
Cl (0.1960, 0.5727, 0.8341)  1 W 2.33
Cl (0.4708, 0.1541, 0.3959)  1 W 2.32
Cl (0.6833, 0.1541, 0.8959)  1 W 2.32
Cl (0.6234, 0.4273, 0.6659)  1 W 2.33
W (0.5000, 0.5000, 0.5000)  6 Cl 2.32-2.33
Cl (0.5292, 0.8459, 0.6041)  1 W 2.32
Cl (0.3766, 0.5727, 0.3341)  1 W 2.33
W (0.0000, 0.5000, 0.0000)  6 Cl 2.32-2.33
Cl (0.7914, 0.6998, 0.9643)  1 W 2.32
Cl (0.9084, 0.6998, 0.4643)  1 W 2.32
Rb (0.0964, 0.0000, 0.7500)  12 Cl 3.47-3.62
Rb (0.9036, 0.0000, 0.2500)  12 Cl 3.47-3.62
Cl (0.8040, 0.4273, 0.1659)  1 W 2.33


RbW2Cl2 | GGA-PBEsol | optimized geometry

Calculated values
Uncorrected formation energy ... 0.40 eV per atom

abc: 3.5882 3.5882 9.2790
angles: 101.15 101.15 90.00
With the nearest neighbours (Å) after each atom.
Positions (direct):
Cl (0.6100, 0.6100, 0.2200)  4 W 3.08, 4 Rb 3.21
W (0.7500, 0.2500, 0.5000)  4 W 2.54
W (0.2500, 0.7500, 0.5000)  4 W 2.54
Cl (0.3900, 0.3900, 0.7800)  4 W 3.08, 4 Rb 3.21
Rb (0.0000, 0.0000, 0.0000)  8 Cl 3.21, 4 Rb 3.59


RbYWCl2 | GGA-PBEsol | optimized geometry

Calculated values
Uncorrected formation energy ... 0.06 eV per atom

abc: 5.3358 5.3358 5.5901
angles: 90.00 90.00 90.00
With the nearest neighbours (Å) after each atom.
Positions (direct):
Cl (0.0000, 0.5000, 0.0000)  2 Y 2.67
Rb (0.5000, 0.5000, 0.5000)  4 W 3.77, 8 Cl 3.86
Cl (0.5000, 0.0000, 0.0000)  2 Y 2.67
Y (0.0000, 0.0000, 0.0000)  4 Cl 2.67, 2 W 2.80
W (0.0000, 0.0000, 0.5000)  2 Y 2.80


RbY2Cl7 | GGA-PBEsol | optimized geometry

Calculated values
Uncorrected formation energy ... -2.27 eV per atom

abc: 6.8634 12.4817 13.0713
angles: 90.00 90.00 90.00
With the nearest neighbours (Å) after each atom.
Positions (direct):
Cl (0.9896, 0.4217, 0.8785)  2 Y 2.66-2.68
Y (0.2500, 0.1571, 0.2473)  7 Cl 2.66-2.70
Y (0.7500, 0.5400, 0.7620)  7 Cl 2.67-2.74
Cl (0.0055, 0.3071, 0.1744)  2 Y 2.67-2.69
Rb (0.7500, 0.1958, 0.9597)  10 Cl 3.43-3.59
Cl (0.0055, 0.1929, 0.6744)  2 Y 2.67-2.69
Cl (0.4896, 0.9217, 0.6215)  2 Y 2.66-2.68
Cl (0.9901, 0.9607, 0.8706)  2 Y 2.68-2.69
Rb (0.7500, 0.3042, 0.4597)  10 Cl 3.43-3.59
Rb (0.2500, 0.8042, 0.0403)  10 Cl 3.43-3.59
Y (0.7500, 0.8429, 0.7527)  7 Cl 2.66-2.70
Cl (0.5099, 0.9607, 0.8706)  2 Y 2.68-2.69
Cl (0.5099, 0.5393, 0.3706)  2 Y 2.68-2.69
Cl (0.7500, 0.6888, 0.6076)  2 Y 2.70-2.74
Cl (0.9901, 0.5393, 0.3706)  2 Y 2.68-2.69
Cl (0.5055, 0.8071, 0.3256)  2 Y 2.67-2.69
Cl (0.0104, 0.9217, 0.6215)  2 Y 2.66-2.68
Cl (0.2500, 0.1888, 0.8924)  2 Y 2.70-2.74
Cl (0.4901, 0.4607, 0.6294)  2 Y 2.68-2.69
Rb (0.2500, 0.6958, 0.5403)  10 Cl 3.43-3.59
Cl (0.9896, 0.0783, 0.3785)  2 Y 2.66-2.68
Y (0.2500, 0.0400, 0.7380)  7 Cl 2.67-2.74
Cl (0.0104, 0.5783, 0.1215)  2 Y 2.66-2.68
Cl (0.7500, 0.8112, 0.1076)  2 Y 2.70-2.74
Y (0.2500, 0.3429, 0.7473)  7 Cl 2.66-2.70
Cl (0.0099, 0.4607, 0.6294)  2 Y 2.68-2.69
Y (0.7500, 0.6571, 0.2527)  7 Cl 2.66-2.70
Cl (0.5104, 0.4217, 0.8785)  2 Y 2.66-2.68
Cl (0.5104, 0.0783, 0.3785)  2 Y 2.66-2.68
Cl (0.4945, 0.1929, 0.6744)  2 Y 2.67-2.69
Cl (0.0099, 0.0393, 0.1294)  2 Y 2.68-2.69
Y (0.2500, 0.4600, 0.2380)  7 Cl 2.67-2.74
Cl (0.2500, 0.3112, 0.3924)  2 Y 2.70-2.74
Cl (0.5055, 0.6929, 0.8256)  2 Y 2.67-2.69
Cl (0.4896, 0.5783, 0.1215)  2 Y 2.66-2.68
Cl (0.4901, 0.0393, 0.1294)  2 Y 2.68-2.69
Cl (0.4945, 0.3071, 0.1744)  2 Y 2.67-2.69
Y (0.7500, 0.9600, 0.2620)  7 Cl 2.67-2.74
Cl (0.9945, 0.6929, 0.8256)  2 Y 2.67-2.69
Cl (0.9945, 0.8071, 0.3256)  2 Y 2.67-2.69


Rb2YCl5 | GGA-PBEsol | optimized geometry

Calculated values
Uncorrected formation energy ... -2.16 eV per atom

abc: 7.2547 9.3378 14.5621
angles: 90.00 90.00 90.00
With the nearest neighbours (Å) after each atom.
Positions (direct):
Cl (0.7500, 0.9681, 0.7921)  1 Y 2.57
Cl (0.4873, 0.1475, 0.6131)  1 Y 2.54
Cl (0.5127, 0.8525, 0.3869)  1 Y 2.54
Rb (0.7500, 0.5302, 0.2909)  6 Cl 3.21-3.55
Rb (0.7500, 0.3288, 0.9144)  7 Cl 3.28-3.67
Rb (0.2500, 0.6712, 0.0856)  7 Cl 3.28-3.67
Cl (0.2500, 0.0319, 0.2079)  1 Y 2.57
Cl (0.7500, 0.2190, 0.3932)  1 Y 2.61
Cl (0.5127, 0.3525, 0.1131)  1 Y 2.54
Cl (0.0000, 0.5000, 0.5000)  2 Y 2.70
Y (0.7500, 0.3101, 0.5630)  6 Cl 2.54-2.70
Cl (0.5000, 0.5000, 0.5000)  2 Y 2.70
Rb (0.2500, 0.9698, 0.7909)  6 Cl 3.21-3.55
Cl (0.2500, 0.7810, 0.6068)  1 Y 2.61
Cl (0.4873, 0.6475, 0.8869)  1 Y 2.54
Cl (0.7500, 0.7190, 0.1068)  1 Y 2.61
Y (0.2500, 0.1899, 0.0630)  6 Cl 2.54-2.70
Rb (0.2500, 0.4698, 0.7091)  6 Cl 3.21-3.55
Cl (0.2500, 0.2810, 0.8932)  1 Y 2.61
Y (0.7500, 0.8101, 0.9370)  6 Cl 2.54-2.70
Cl (0.0127, 0.1475, 0.6131)  1 Y 2.54
Cl (0.0000, 0.0000, 0.0000)  2 Y 2.70
Rb (0.7500, 0.8288, 0.5856)  7 Cl 3.28-3.67
Cl (0.9873, 0.3525, 0.1131)  1 Y 2.54
Rb (0.7500, 0.0302, 0.2091)  6 Cl 3.21-3.55
Cl (0.0127, 0.6475, 0.8869)  1 Y 2.54
Cl (0.9873, 0.8525, 0.3869)  1 Y 2.54
Cl (0.2500, 0.5319, 0.2921)  1 Y 2.57
Y (0.2500, 0.6899, 0.4370)  6 Cl 2.54-2.70
Cl (0.5000, 0.0000, 0.0000)  2 Y 2.70
Cl (0.7500, 0.4681, 0.7079)  1 Y 2.57
Rb (0.2500, 0.1712, 0.4144)  7 Cl 3.28-3.67